1.
An optimized crystal structure of YMnNi, computed with PBE.

The structure in CIF format:
```
data_YMnNi
_chemical_formula_sum 'Y1 Mn1 Ni1'
_symmetry_space_group_name_H-M 'P 1'
_symmetry_Int_Tables_number 1
_cell_length_a 5.5347
_cell_length_b 5.5347
_cell_length_c 5.5347
_cell_angle_alpha 145.38
_cell_angle_beta 145.38
_cell_angle_gamma 49.76
loop_
_symmetry_equiv_pos_as_xyz
'x,y,z'
loop_
_atom_site_label
_atom_site_type_symbol
_atom_site_fract_x
_atom_site_fract_y
_atom_site_fract_z
_atom_site_occupancy
Mn1 Mn 0.9646 0.9646 0.0000 1
Ni1 Ni 0.3617 0.3617 0.0000 1
Y1 Y 0.6737 0.6737 0.0000 1
```

Summary:
mass density	6.18	Mg/m³
formation energy	0.07	eV/f.u.

2.
An optimized crystal structure of YMnNi10, computed with PBE.

The structure in CIF format:
```
data_YMnNi10
_chemical_formula_sum 'Y1 Mn1 Ni10'
_symmetry_space_group_name_H-M 'P 1'
_symmetry_Int_Tables_number 1
_cell_length_a 3.9875
_cell_length_b 4.7596
_cell_length_c 8.2552
_cell_angle_alpha 90.00
_cell_angle_beta 90.00
_cell_angle_gamma 90.00
loop_
_symmetry_equiv_pos_as_xyz
'x,y,z'
loop_
_atom_site_label
_atom_site_type_symbol
_atom_site_fract_x
_atom_site_fract_y
_atom_site_fract_z
_atom_site_occupancy
Y1 Y 0.0000 0.0000 0.0000 1
Mn1 Mn 0.0000 0.5000 0.5000 1
Ni1 Ni 0.0000 0.0000 0.3437 1
Ni2 Ni 0.0000 0.5000 0.8165 1
Ni3 Ni 0.0000 0.5000 0.1835 1
Ni4 Ni 0.0000 0.0000 0.6563 1
Ni5 Ni 0.5000 0.0000 0.5000 1
Ni6 Ni 0.5000 0.5000 0.0000 1
Ni7 Ni 0.5000 0.2519 0.2555 1
Ni8 Ni 0.5000 0.7481 0.7445 1
Ni9 Ni 0.5000 0.7481 0.2555 1
Ni10 Ni 0.5000 0.2519 0.7445 1
```

Summary:
mass density	7.75	Mg/m³
formation energy	-1.03	eV/f.u.

What is the formula in the second record? YMnNi10

Among the records above, which one has the highest formation energy? YMnNi